Record 1
ZrAsBr2: optimized geometry, PBE-GGA.

a b c (Å): 9.857 9.857 7.447
angles (deg): 48.56 48.56 90.00
Sites, in units of the cell vectors:
As 0.500 0.500 0.000
As 0.250 0.750 0.500
Br 0.770 0.125 0.250
Br 0.980 0.625 0.250
Br 0.375 0.230 0.750
Br 0.875 0.020 0.750
Zr 0.000 0.000 0.000
Zr 0.750 0.250 0.500

For the magnetization, the calculation gives 1.99 μB per cell. The space group is I-42d, No. 122. As for the volume: 31.8 A^3/atom. The value obtained for the energy relative to the elements, uncorrected is -49.8 kJ/mol of atoms.

***

Record 2
NpH5Os: optimized geometry, PBE-GGA.

a b c (Å): 4.484 4.484 7.618
angles (deg): 64.85 64.85 63.17
Sites, in units of the cell vectors:
Np 0.500 0.500 0.750
Np 0.500 0.500 0.250
H 0.445 0.903 0.913
H 0.445 0.903 0.413
H 0.903 0.445 0.413
H 0.000 0.000 0.750
H 0.097 0.555 0.087
H 0.903 0.445 0.913
H 0.000 0.000 0.250
H 0.097 0.555 0.587
H 0.555 0.097 0.587
H 0.555 0.097 0.087
Os 0.000 0.000 0.000
Os 0.000 0.000 0.500

The calculation puts the total DFT energy (no corrections) at -0.43749 Ry per atom. For the magnetization, the calculation gives 6.86 μB per cell. The space group is Immm, No. 71. As for the volume: 8.5 A^3/atom.

***

Record 3
HfBe3V: optimized geometry, PBE-GGA.

a b c (Å): 4.100 4.100 4.100
angles (deg): 90.00 90.00 90.00
Sites, in units of the cell vectors:
Be 0.000 0.500 0.000
Be 0.000 0.000 0.500
Be 0.500 0.000 0.000
Hf 0.500 0.500 0.500
V 0.000 0.000 0.000

For the magnetization, the calculation gives 1.15 μB per cell. The space group is Pm-3m, No. 221. As for the volume: 13.8 A^3/atom. For the formation energy, the calculation gives 0.739 eV/atom.

***

> What is the magnetization in the second record?

6.86 μB per cell